Entry 1:
Entry from the Alexandria database: a relaxed Pm3CuSi3 crystal (PBE).

CIF file:
```
data_Pm3CuSi3
_chemical_formula_sum 'Pm3 Cu1 Si3'
_symmetry_space_group_name_H-M 'P 1'
_symmetry_Int_Tables_number 1
_symmetry_space_group_name_Hall 'P 1'
_cell_length_a 3.994
_cell_length_b 4.308
_cell_length_c 9.500
_cell_angle_alpha 103.10
_cell_angle_beta 102.14
_cell_angle_gamma 90.00
loop_
_atom_site_label
_atom_site_type_symbol
_atom_site_fract_x
_atom_site_fract_y
_atom_site_fract_z
Pm1 Pm 0.316 0.816 0.633
Pm2 Pm 0.684 0.184 0.368
Pm3 Pm 0.002 0.002 0.004
Cu1 Cu 0.433 0.433 0.867
Si1 Si 0.141 0.641 0.282
Si2 Si 0.862 0.362 0.725
Si3 Si 0.561 0.561 0.121
```

SG: Imm2
ΔE_f (raw) in kJ/mol of atoms: -66.8

=====

Entry 2:
Entry from the Alexandria database: a relaxed Ac2SmH12Rh3 crystal (PBE).

CIF file:
```
data_Ac2SmH12Rh3
_chemical_formula_sum 'Ac2 Sm1 H12 Rh3'
_symmetry_space_group_name_H-M 'P 1'
_symmetry_Int_Tables_number 1
_symmetry_space_group_name_Hall 'P 1'
_cell_length_a 6.302
_cell_length_b 6.302
_cell_length_c 6.302
_cell_angle_alpha 64.72
_cell_angle_beta 64.72
_cell_angle_gamma 64.72
loop_
_atom_site_label
_atom_site_type_symbol
_atom_site_fract_x
_atom_site_fract_y
_atom_site_fract_z
Ac1 Ac 0.613 0.613 0.613
Ac2 Ac 0.387 0.387 0.387
Sm1 Sm 0.000 0.000 0.000
H1 H 0.282 0.282 0.893
H2 H 0.870 0.870 0.416
H3 H 0.416 0.870 0.870
H4 H 0.893 0.282 0.282
H5 H 0.870 0.416 0.870
H6 H 0.282 0.893 0.282
H7 H 0.718 0.718 0.107
H8 H 0.130 0.130 0.584
H9 H 0.584 0.130 0.130
H10 H 0.107 0.718 0.718
H11 H 0.130 0.584 0.130
H12 H 0.718 0.107 0.718
Rh1 Rh 0.500 0.000 0.000
Rh2 Rh 0.000 0.500 0.000
Rh3 Rh 0.000 0.000 0.500
```

SG: R-3m
Total energy in eV per atom: -4.557

=====

Entry 3:
Entry from the Alexandria database: a relaxed Sr2SnGeAu6 crystal (PBE).

CIF file:
```
data_Sr2SnGeAu6
_chemical_formula_sum 'Sr4 Sn2 Ge2 Au12'
_symmetry_space_group_name_H-M 'P 1'
_symmetry_Int_Tables_number 1
_symmetry_space_group_name_Hall 'P 1'
_cell_length_a 7.291
_cell_length_b 7.264
_cell_length_c 9.428
_cell_angle_alpha 90.00
_cell_angle_beta 90.00
_cell_angle_gamma 90.00
loop_
_atom_site_label
_atom_site_type_symbol
_atom_site_fract_x
_atom_site_fract_y
_atom_site_fract_z
Sr1 Sr 0.500 0.769 0.266
Sr2 Sr 0.000 0.231 0.766
Sr3 Sr 0.500 0.769 0.734
Sr4 Sr 0.000 0.231 0.234
Sn1 Sn 0.000 0.902 0.500
Sn2 Sn 0.500 0.098 0.000
Ge1 Ge 0.500 0.427 0.500
Ge2 Ge 0.000 0.573 0.000
Au1 Au 0.500 0.273 0.253
Au2 Au 0.500 0.273 0.747
Au3 Au 0.000 0.727 0.247
Au4 Au 0.000 0.727 0.753
Au5 Au 0.300 0.114 0.500
Au6 Au 0.700 0.114 0.500
Au7 Au 0.185 0.545 0.500
Au8 Au 0.815 0.545 0.500
Au9 Au 0.685 0.455 0.000
Au10 Au 0.315 0.455 0.000
Au11 Au 0.200 0.886 0.000
Au12 Au 0.800 0.886 0.000
```

SG: Pmmn
Energy relative to the elements in eV/atom: -0.470

=====

Entry 4:
Entry from the Alexandria database: a relaxed Zr2NiRh4 crystal (PBE).

CIF file:
```
data_Zr2NiRh4
_chemical_formula_sum 'Zr2 Ni1 Rh4'
_symmetry_space_group_name_H-M 'P 1'
_symmetry_Int_Tables_number 1
_symmetry_space_group_name_Hall 'P 1'
_cell_length_a 3.714
_cell_length_b 3.714
_cell_length_c 9.068
_cell_angle_alpha 101.82
_cell_angle_beta 101.82
_cell_angle_gamma 90.00
loop_
_atom_site_label
_atom_site_type_symbol
_atom_site_fract_x
_atom_site_fract_y
_atom_site_fract_z
Zr1 Zr 0.599 0.599 0.197
Zr2 Zr 0.401 0.401 0.803
Ni1 Ni 0.000 0.000 0.000
Rh1 Rh 0.140 0.140 0.279
Rh2 Rh 0.860 0.860 0.721
Rh3 Rh 0.750 0.250 0.500
Rh4 Rh 0.250 0.750 0.500
```

SG: I4/mmm
Energy relative to the elements in eV/atom: -0.256

=====

Entry 5:
Entry from the Alexandria database: a relaxed Tb12NdTl3 crystal (PBE).

CIF file:
```
data_Tb12NdTl3
_chemical_formula_sum 'Tb12 Nd1 Tl3'
_symmetry_space_group_name_H-M 'P 1'
_symmetry_Int_Tables_number 1
_symmetry_space_group_name_Hall 'P 1'
_cell_length_a 4.883
_cell_length_b 4.883
_cell_length_c 20.026
_cell_angle_alpha 90.00
_cell_angle_beta 90.00
_cell_angle_gamma 90.00
loop_
_atom_site_label
_atom_site_type_symbol
_atom_site_fract_x
_atom_site_fract_y
_atom_site_fract_z
Tb1 Tb 0.500 0.500 0.000
Tb2 Tb 0.500 0.500 0.256
Tb3 Tb 0.500 0.500 0.500
Tb4 Tb 0.500 0.500 0.744
Tb5 Tb 0.500 0.000 0.132
Tb6 Tb 0.500 0.000 0.377
Tb7 Tb 0.500 0.000 0.623
Tb8 Tb 0.500 0.000 0.868
Tb9 Tb 0.000 0.500 0.132
Tb10 Tb 0.000 0.500 0.377
Tb11 Tb 0.000 0.500 0.623
Tb12 Tb 0.000 0.500 0.868
Nd1 Nd 0.000 0.000 0.000
Tl1 Tl 0.000 0.000 0.257
Tl2 Tl 0.000 0.000 0.500
Tl3 Tl 0.000 0.000 0.743
```

SG: P4/mmm
Energy relative to the elements in eV/atom: -0.127

=====

Entry 6:
Entry from the Alexandria database: a relaxed Mn4SbCl crystal (PBE).

CIF file:
```
data_Mn4SbCl
_chemical_formula_sum 'Mn4 Sb1 Cl1'
_symmetry_space_group_name_H-M 'P 1'
_symmetry_Int_Tables_number 1
_symmetry_space_group_name_Hall 'P 1'
_cell_length_a 5.208
_cell_length_b 5.208
_cell_length_c 5.208
_cell_angle_alpha 60.00
_cell_angle_beta 60.00
_cell_angle_gamma 60.00
loop_
_atom_site_label
_atom_site_type_symbol
_atom_site_fract_x
_atom_site_fract_y
_atom_site_fract_z
Mn1 Mn 0.870 0.377 0.377
Mn2 Mn 0.377 0.377 0.870
Mn3 Mn 0.377 0.870 0.377
Mn4 Mn 0.377 0.377 0.377
Sb1 Sb 0.750 0.750 0.750
Cl1 Cl 0.000 0.000 0.000
```

SG: F-43m
ΔE_f (raw) in kJ/mol of atoms: 50.0

=====

Entry 7:
Entry from the Alexandria database: a relaxed AgBi2Pb crystal (PBE).

CIF file:
```
data_AgBi2Pb
_chemical_formula_sum 'Ag2 Bi4 Pb2'
_symmetry_space_group_name_H-M 'P 1'
_symmetry_Int_Tables_number 1
_symmetry_space_group_name_Hall 'P 1'
_cell_length_a 6.851
_cell_length_b 6.851
_cell_length_c 8.166
_cell_angle_alpha 65.20
_cell_angle_beta 65.20
_cell_angle_gamma 90.00
loop_
_atom_site_label
_atom_site_type_symbol
_atom_site_fract_x
_atom_site_fract_y
_atom_site_fract_z
Pb1 Pb 0.000 0.000 0.000
Pb2 Pb 0.750 0.250 0.500
Bi1 Bi 0.596 0.125 0.250
Bi2 Bi 0.154 0.625 0.250
Bi3 Bi 0.375 0.404 0.750
Bi4 Bi 0.875 0.846 0.750
Ag1 Ag 0.500 0.500 0.000
Ag2 Ag 0.250 0.750 0.500
```

SG: I-42d
Energy relative to the elements in eV/atom: 0.246

=====

Entry 8:
Entry from the Alexandria database: a relaxed RuW7 crystal (PBE).

CIF file:
```
data_RuW7
_chemical_formula_sum 'Ru1 W7'
_symmetry_space_group_name_H-M 'P 1'
_symmetry_Int_Tables_number 1
_symmetry_space_group_name_Hall 'P 1'
_cell_length_a 5.673
_cell_length_b 5.673
_cell_length_c 5.673
_cell_angle_alpha 60.00
_cell_angle_beta 60.00
_cell_angle_gamma 60.00
loop_
_atom_site_label
_atom_site_type_symbol
_atom_site_fract_x
_atom_site_fract_y
_atom_site_fract_z
Ru1 Ru 0.000 0.000 0.000
W1 W 0.000 0.500 0.500
W2 W 0.500 0.000 0.500
W3 W 0.500 0.500 0.000
W4 W 0.000 0.000 0.500
W5 W 0.000 0.500 0.000
W6 W 0.500 0.000 0.000
W7 W 0.500 0.500 0.500
```

SG: Fm-3m
Energy relative to the elements in eV/atom: 0.376

=====

Entry 9:
Entry from the Alexandria database: a relaxed Cs2LiNpI6 crystal (PBE).

CIF file:
```
data_Cs2LiNpI6
_chemical_formula_sum 'Cs4 Li2 Np2 I12'
_symmetry_space_group_name_H-M 'P 1'
_symmetry_Int_Tables_number 1
_symmetry_space_group_name_Hall 'P 1'
_cell_length_a 8.575
_cell_length_b 8.575
_cell_length_c 15.285
_cell_angle_alpha 73.71
_cell_angle_beta 73.71
_cell_angle_gamma 60.00
loop_
_atom_site_label
_atom_site_type_symbol
_atom_site_fract_x
_atom_site_fract_y
_atom_site_fract_z
Cs1 Cs 0.877 0.877 0.368
Cs2 Cs 0.123 0.123 0.632
Cs3 Cs 0.707 0.707 0.879
Cs4 Cs 0.293 0.293 0.121
Li1 Li 0.000 0.000 0.000
Li2 Li 0.500 0.500 0.500
Np1 Np 0.585 0.585 0.246
Np2 Np 0.415 0.415 0.754
I1 I 0.872 0.376 0.377
I2 I 0.376 0.872 0.377
I3 I 0.376 0.376 0.377
I4 I 0.128 0.624 0.623
I5 I 0.624 0.128 0.623
I6 I 0.624 0.624 0.623
I7 I 0.713 0.204 0.879
I8 I 0.204 0.713 0.879
I9 I 0.204 0.204 0.879
I10 I 0.287 0.796 0.121
I11 I 0.796 0.287 0.121
I12 I 0.796 0.796 0.121
```

SG: R-3m
ΔE_f (raw) in kJ/mol of atoms: -118.2

=====

Entry 10:
Entry from the Alexandria database: a relaxed BeTc2P crystal (PBE).

CIF file:
```
data_BeTc2P
_chemical_formula_sum 'Be1 Tc2 P1'
_symmetry_space_group_name_H-M 'P 1'
_symmetry_Int_Tables_number 1
_symmetry_space_group_name_Hall 'P 1'
_cell_length_a 2.800
_cell_length_b 2.800
_cell_length_c 7.381
_cell_angle_alpha 90.00
_cell_angle_beta 90.00
_cell_angle_gamma 116.03
loop_
_atom_site_label
_atom_site_type_symbol
_atom_site_fract_x
_atom_site_fract_y
_atom_site_fract_z
P1 P 0.500 0.500 0.750
Tc1 Tc 0.000 0.000 0.995
Tc2 Tc 0.000 0.000 0.505
Be1 Be 0.500 0.500 0.250
```

SG: Cmmm
Energy relative to the elements in eV/atom: 0.087

=====

Entry 11:
Entry from the Alexandria database: a relaxed Ta2MnC2 crystal (PBE).

CIF file:
```
data_Ta2MnC2
_chemical_formula_sum 'Ta4 Mn2 C4'
_symmetry_space_group_name_H-M 'P 1'
_symmetry_Int_Tables_number 1
_symmetry_space_group_name_Hall 'P 1'
_cell_length_a 5.946
_cell_length_b 5.946
_cell_length_c 3.062
_cell_angle_alpha 90.00
_cell_angle_beta 90.00
_cell_angle_gamma 90.00
loop_
_atom_site_label
_atom_site_type_symbol
_atom_site_fract_x
_atom_site_fract_y
_atom_site_fract_z
C1 C 0.347 0.847 0.000
C2 C 0.847 0.653 0.000
C3 C 0.653 0.153 0.000
C4 C 0.153 0.347 0.000
Mn1 Mn 0.000 0.000 0.000
Mn2 Mn 0.500 0.500 0.000
Ta1 Ta 0.159 0.659 0.500
Ta2 Ta 0.659 0.841 0.500
Ta3 Ta 0.841 0.341 0.500
Ta4 Ta 0.341 0.159 0.500
```

SG: P4/mbm
Energy relative to the elements in eV/atom: -0.141

=====

Entry 12:
Entry from the Alexandria database: a relaxed K2LiH2Se2O6 crystal (PBE).

CIF file:
```
data_K2LiH2Se2O6
_chemical_formula_sum 'K2 Li1 H2 Se2 O6'
_symmetry_space_group_name_H-M 'P 1'
_symmetry_Int_Tables_number 1
_symmetry_space_group_name_Hall 'P 1'
_cell_length_a 6.049
_cell_length_b 6.596
_cell_length_c 7.392
_cell_angle_alpha 78.80
_cell_angle_beta 119.01
_cell_angle_gamma 122.23
loop_
_atom_site_label
_atom_site_type_symbol
_atom_site_fract_x
_atom_site_fract_y
_atom_site_fract_z
K1 K 0.502 0.745 0.999
K2 K 0.940 0.395 0.213
Li1 Li 0.293 0.194 0.685
H1 H 0.100 0.933 0.994
H2 H 0.748 0.151 0.800
Se1 Se 0.714 0.713 0.598
Se2 Se 0.363 0.091 0.355
O1 O 0.180 0.868 0.135
O2 O 0.633 0.176 0.841
O3 O 0.420 0.554 0.652
O4 O 0.468 0.353 0.241
O5 O 0.952 0.980 0.757
O6 O 0.071 0.040 0.377
```

SG: P1
Total energy in eV per atom: -4.883

=====

What did the fourth record say?
Entry from the Alexandria database: a relaxed Zr2NiRh4 crystal (PBE).

CIF file:
```
data_Zr2NiRh4
_chemical_formula_sum 'Zr2 Ni1 Rh4'
_symmetry_space_group_name_H-M 'P 1'
_symmetry_Int_Tables_number 1
_symmetry_space_group_name_Hall 'P 1'
_cell_length_a 3.714
_cell_length_b 3.714
_cell_length_c 9.068
_cell_angle_alpha 101.82
_cell_angle_beta 101.82
_cell_angle_gamma 90.00
loop_
_atom_site_label
_atom_site_type_symbol
_atom_site_fract_x
_atom_site_fract_y
_atom_site_fract_z
Zr1 Zr 0.599 0.599 0.197
Zr2 Zr 0.401 0.401 0.803
Ni1 Ni 0.000 0.000 0.000
Rh1 Rh 0.140 0.140 0.279
Rh2 Rh 0.860 0.860 0.721
Rh3 Rh 0.750 0.250 0.500
Rh4 Rh 0.250 0.750 0.500
```

SG: I4/mmm
Energy relative to the elements in eV/atom: -0.256